No. 1
Density functional theory data (PBE-GGA) for an optimized crystal structure of Nd2Mg3.

```
10
Lattice="3.857 0.000 0.000 0.000 3.857 0.000 0.000 0.000 18.986" Properties=species:S:1:pos:R:3 pbc="T T T"
Nd 0.000 0.000 1.962
Nd 0.000 0.000 5.815
Nd 0.000 0.000 13.171
Nd 0.000 0.000 17.024
Mg 0.000 0.000 9.493
Mg 1.929 1.929 0.000
Mg 1.929 1.929 3.903
Mg 1.929 1.929 7.849
Mg 1.929 1.929 11.137
Mg 1.929 1.929 15.083
```

Output
* calculated formation energy: -0.08 eV/atom
* total moment: 0.000 μB per cell
* SG: No. 123
* volume: 282 Å³/cell
* E above lowest polymorph: 0.0 meV per atom

***

No. 2
Density functional theory data (PBE-GGA) for an optimized crystal structure of NdMg5.

```
6
Lattice="5.118 0.000 0.000 -2.559 4.432 0.000 0.000 0.000 6.756" Properties=species:S:1:pos:R:3 pbc="T T T"
Nd 0.000 0.000 0.000
Mg 0.000 0.000 3.378
Mg 0.000 2.955 1.730
Mg 0.000 2.955 5.026
Mg 2.559 1.477 1.730
Mg 2.559 1.477 5.026
```

Output
* calculated formation energy: -0.06 eV/atom
* total moment: 0.000 μB per cell
* SG: No. 191
* volume: 153 Å³/cell

***

No. 3
Density functional theory data (PBE-GGA) for an optimized crystal structure of NdMg4.

```
20
Lattice="9.858 0.000 0.000 0.000 9.858 0.000 0.000 0.000 6.345" Properties=species:S:1:pos:R:3 pbc="T T T"
Nd 2.333 2.596 0.000
Nd 2.596 7.525 0.000
Nd 7.263 2.333 0.000
Nd 7.525 7.263 0.000
Mg 0.000 0.000 1.306
Mg 0.000 0.000 5.039
Mg 1.027 7.931 3.173
Mg 1.032 3.897 3.173
Mg 1.927 1.027 3.173
Mg 3.002 5.956 3.173
Mg 3.897 8.826 3.173
Mg 3.903 3.002 3.173
Mg 4.929 4.929 1.306
Mg 4.929 4.929 5.039
Mg 5.956 6.856 3.173
Mg 5.962 1.032 3.173
Mg 6.856 3.903 3.173
Mg 7.931 8.832 3.173
Mg 8.826 5.962 3.173
Mg 8.832 1.927 3.173
```

Output
* calculated formation energy: 0.32 eV/atom
* total moment: 0.000 μB per cell
* SG: No. 127
* volume: 617 Å³/cell

***

No. 4
Density functional theory data (PBE-GGA) for an optimized crystal structure of Nd5Mg3.

```
8
Lattice="3.838 0.000 0.000 0.000 3.838 0.000 0.000 0.000 16.865" Properties=species:S:1:pos:R:3 pbc="T T T"
Nd 0.000 0.000 0.000
Nd 0.000 0.000 3.939
Nd 0.000 0.000 12.925
Nd 1.919 1.919 6.423
Nd 1.919 1.919 10.442
Mg 0.000 0.000 8.432
Mg 1.919 1.919 1.961
Mg 1.919 1.919 14.904
```

Output
* calculated formation energy: -0.07 eV/atom
* total moment: 0.000 μB per cell
* SG: No. 123
* volume: 248 Å³/cell

***

No. 5
Density functional theory data (PBE-GGA) for an optimized crystal structure of NdMg4.

```
5
Lattice="5.959 0.000 0.000 0.000 5.959 0.000 0.000 0.000 5.959" Properties=species:S:1:pos:R:3 pbc="T T T"
Nd 0.000 0.000 0.000
Mg 0.000 0.000 2.979
Mg 0.000 2.979 0.000
Mg 2.979 0.000 0.000
Mg 2.979 2.979 2.979
```

Output
* calculated formation energy: 1.04 eV/atom
* total moment: 1.071 μB per cell
* SG: No. 221
* volume: 212 Å³/cell

***

No. 6
Density functional theory data (PBE-GGA) for an optimized crystal structure of NdMg4.

```
5
Lattice="3.444 0.000 0.000 -0.007 5.185 0.000 -1.722 -2.581 7.246" Properties=species:S:1:pos:R:3 pbc="T T T"
Nd 0.000 0.000 0.000
Mg -0.004 2.598 4.128
Mg -0.005 0.010 5.754
Mg 1.720 2.594 1.492
Mg 1.719 0.006 3.119
```

Output
* calculated formation energy: -0.06 eV/atom
* total moment: 0.000 μB per cell
* SG: No. 2
* volume: 129 Å³/cell

***

No. 7
Density functional theory data (PBE-GGA) for an optimized crystal structure of Nd7Mg3.

```
20
Lattice="10.515 0.000 0.000 -5.257 9.106 0.000 0.000 0.000 6.855" Properties=species:S:1:pos:R:3 pbc="T T T"
Nd -2.247 4.774 0.000
Nd 0.000 2.236 1.627
Nd -3.321 7.988 1.627
Nd 1.937 1.118 5.055
Nd 0.000 6.071 2.184
Nd 2.247 4.774 0.000
Nd 0.000 8.665 0.000
Nd 5.257 0.441 3.427
Nd 3.011 4.332 3.427
Nd 5.257 3.035 5.612
Nd 3.321 7.988 1.627
Nd 8.578 1.118 5.055
Nd 5.257 6.870 5.055
Nd 7.504 4.332 3.427
Mg 0.000 3.973 4.747
Mg -1.817 7.120 4.747
Mg 3.441 1.987 1.319
Mg 1.817 7.120 4.747
Mg 7.074 1.987 1.319
Mg 5.257 5.133 1.319
```

Output
* calculated formation energy: 0.09 eV/atom
* total moment: 0.006 μB per cell
* SG: No. 186
* volume: 656 Å³/cell

***

No. 8
Density functional theory data (PBE-GGA) for an optimized crystal structure of NdMg6.

```
28
Lattice="9.653 0.000 0.000 0.000 5.930 0.000 0.000 0.000 12.239" Properties=species:S:1:pos:R:3 pbc="T T T"
Nd 2.366 1.483 0.756
Nd 2.460 4.448 6.875
Nd 7.192 1.483 5.364
Nd 7.287 4.448 11.483
Mg 0.517 4.448 1.037
Mg 0.596 0.059 3.747
Mg 0.596 2.906 3.747
Mg 0.891 1.483 6.341
Mg 1.405 4.448 10.410
Mg 1.873 1.483 9.193
Mg 2.954 4.448 3.074
Mg 3.422 1.483 4.290
Mg 3.936 4.448 0.221
Mg 4.230 3.024 9.867
Mg 4.230 5.872 9.867
Mg 4.309 1.483 7.156
Mg 5.344 4.448 5.082
Mg 5.423 0.059 2.372
Mg 5.423 2.906 2.372
Mg 5.717 1.483 12.018
Mg 6.231 4.448 7.948
Mg 6.699 1.483 9.165
Mg 7.780 4.448 3.046
Mg 8.248 1.483 1.829
Mg 8.762 4.448 5.898
Mg 9.057 3.024 8.491
Mg 9.057 5.872 8.491
Mg 9.136 1.483 11.202
```

Output
* calculated formation energy: -0.03 eV/atom
* total moment: 0.000 μB per cell
* SG: No. 62
* volume: 701 Å³/cell
* E above lowest polymorph: 0.0 meV per atom

***

No. 9
Density functional theory data (PBE-GGA) for an optimized crystal structure of Nd5Mg.

```
6
Lattice="3.703 0.000 0.000 0.000 3.703 0.000 0.000 0.000 14.627" Properties=species:S:1:pos:R:3 pbc="T T T"
Nd 0.000 0.000 0.000
Nd 0.000 0.000 5.143
Nd 0.000 0.000 9.484
Nd 1.852 1.852 2.599
Nd 1.852 1.852 12.028
Mg 1.852 1.852 7.314
```

Output
* calculated formation energy: -0.03 eV/atom
* total moment: 0.000 μB per cell
* SG: No. 123
* volume: 201 Å³/cell
* E above lowest polymorph: 0.0 meV per atom

***

No. 10
Density functional theory data (PBE-GGA) for an optimized crystal structure of Nd3Mg.

```
4
Lattice="-1.864 5.789 3.007 1.864 -5.789 3.007 1.864 5.789 -3.007" Properties=species:S:1:pos:R:3 pbc="T T T"
Nd 0.000 0.000 0.000
Nd 1.864 3.095 0.726
Nd 0.000 2.694 3.733
Mg 1.864 0.000 2.922
```

Output
* calculated formation energy: -0.02 eV/atom
* total moment: 0.000 μB per cell
* SG: No. 44
* volume: 130 Å³/cell

***

No. 11
Density functional theory data (PBE-GGA) for an optimized crystal structure of NdMg5.

```
6
Lattice="2.307 -6.802 0.000 2.307 6.802 0.000 0.000 0.000 4.897" Properties=species:S:1:pos:R:3 pbc="T T T"
Nd 0.000 0.000 0.000
Mg 2.307 4.526 2.449
Mg 2.307 2.398 0.000
Mg 2.307 0.000 2.449
Mg 2.307 -2.398 0.000
Mg 2.307 -4.526 2.449
```

Output
* calculated formation energy: -0.05 eV/atom
* total moment: 0.000 μB per cell
* SG: No. 65
* volume: 154 Å³/cell

***

No. 12
Density functional theory data (PBE-GGA) for an optimized crystal structure of Nd3Mg.

```
4
Lattice="-2.503 2.503 5.089 2.503 -2.503 5.089 2.503 2.503 -5.089" Properties=species:S:1:pos:R:3 pbc="T T T"
Nd 0.000 0.000 0.000
Nd 2.503 0.000 2.545
Nd 0.000 2.503 2.545
Mg 0.000 0.000 5.089
```

Output
* calculated formation energy: -0.01 eV/atom
* total moment: 0.000 μB per cell
* SG: No. 139
* volume: 128 Å³/cell

***

volume of number 4 (Nd5Mg3)?
248 Å³/cell

***

What did the third record say?
Density functional theory data (PBE-GGA) for an optimized crystal structure of NdMg4.

```
20
Lattice="9.858 0.000 0.000 0.000 9.858 0.000 0.000 0.000 6.345" Properties=species:S:1:pos:R:3 pbc="T T T"
Nd 2.333 2.596 0.000
Nd 2.596 7.525 0.000
Nd 7.263 2.333 0.000
Nd 7.525 7.263 0.000
Mg 0.000 0.000 1.306
Mg 0.000 0.000 5.039
Mg 1.027 7.931 3.173
Mg 1.032 3.897 3.173
Mg 1.927 1.027 3.173
Mg 3.002 5.956 3.173
Mg 3.897 8.826 3.173
Mg 3.903 3.002 3.173
Mg 4.929 4.929 1.306
Mg 4.929 4.929 5.039
Mg 5.956 6.856 3.173
Mg 5.962 1.032 3.173
Mg 6.856 3.903 3.173
Mg 7.931 8.832 3.173
Mg 8.826 5.962 3.173
Mg 8.832 1.927 3.173
```

Output
* calculated formation energy: 0.32 eV/atom
* total moment: 0.000 μB per cell
* SG: No. 127
* volume: 617 Å³/cell